# 1
NiTeSCl2 | GGA-PBE | optimized geometry

abc: 5.204 5.204 5.274
angles: 90.00 90.00 90.00
Sites, in units of the cell vectors:
Ni: 0.000 0.000 0.000
Te: 0.500 0.500 0.500
S: 0.500 0.500 0.000
Cl: 0.000 0.500 0.500
Cl: 0.500 0.000 0.500

Results
Space-group type ... P4/mmm, No. 123
ΔE to the lowest computed polymorph ... 564.3 meV per atom
Total magnetic moment ... 1.1 μB/f.u.
V ... 143 Å³ per cell

***

# 2
TlNiSCl2 | GGA-PBE | optimized geometry

abc: 5.257 5.257 5.184
angles: 90.00 90.00 90.00
Sites, in units of the cell vectors:
Tl: 0.000 0.000 0.000
Ni: 0.500 0.500 0.500
S: 0.000 0.000 0.500
Cl: 0.000 0.500 0.000
Cl: 0.500 0.000 0.000

Results
Space-group type ... P4/mmm, No. 123
ΔE to the lowest computed polymorph ... 877.7 meV per atom
Total magnetic moment ... 1.3 μB/f.u.
V ... 143 Å³ per cell

***

# 3
TlNiSCl2 | GGA-PBE | optimized geometry

abc: 5.065 5.065 4.366
angles: 90.00 90.00 90.00
Sites, in units of the cell vectors:
Tl: 0.000 0.000 0.000
Ni: 0.500 0.500 0.500
S: 0.500 0.500 0.000
Cl: 0.000 0.500 0.500
Cl: 0.500 0.000 0.500

Results
Space-group type ... P4/mmm, No. 123
ΔE to the lowest computed polymorph ... 0.0 meV per atom
Total magnetic moment ... 1.8 μB/f.u.
V ... 112 Å³ per cell

***

# 4
VNiS2Cl | GGA-PBE | optimized geometry

abc: 4.528 4.528 4.581
angles: 90.00 90.00 90.00
Sites, in units of the cell vectors:
V: 0.000 0.000 0.000
Ni: 0.500 0.500 0.500
S: 0.000 0.500 0.000
S: 0.500 0.000 0.000
Cl: 0.000 0.000 0.500

Results
Space-group type ... P4/mmm, No. 123
ΔE to the lowest computed polymorph ... 0.0 meV per atom
Total magnetic moment ... 0.1 μB/f.u.
V ... 94 Å³ per cell

***

# 5
VNiS2Cl | GGA-PBE | optimized geometry

abc: 4.479 4.479 4.405
angles: 90.00 90.00 90.00
Sites, in units of the cell vectors:
V: 0.000 0.000 0.000
Ni: 0.500 0.500 0.500
S: 0.000 0.500 0.500
S: 0.500 0.000 0.500
Cl: 0.500 0.500 0.000

Results
Space-group type ... P4/mmm, No. 123
ΔE to the lowest computed polymorph ... 257.6 meV per atom
Total magnetic moment ... 0.1 μB/f.u.
V ... 88 Å³ per cell

***

# 6
VNiSCl2 | GGA-PBE | optimized geometry

abc: 4.657 4.657 4.591
angles: 90.00 90.00 90.00
Sites, in units of the cell vectors:
V: 0.000 0.000 0.000
Ni: 0.500 0.500 0.500
S: 0.000 0.000 0.500
Cl: 0.000 0.500 0.000
Cl: 0.500 0.000 0.000

Results
Space-group type ... P4/mmm, No. 123
ΔE to the lowest computed polymorph ... 27.5 meV per atom
Total magnetic moment ... 0.0 μB/f.u.
V ... 100 Å³ per cell

***

# 7
VNiSCl2 | GGA-PBE | optimized geometry

abc: 4.446 4.446 4.816
angles: 90.00 90.00 90.00
Sites, in units of the cell vectors:
V: 0.000 0.000 0.000
Ni: 0.500 0.500 0.500
S: 0.500 0.500 0.000
Cl: 0.000 0.500 0.500
Cl: 0.500 0.000 0.500

Results
Space-group type ... P4/mmm, No. 123
ΔE to the lowest computed polymorph ... 0.0 meV per atom
Total magnetic moment ... 3.0 μB/f.u.
V ... 95 Å³ per cell

***

# 8
NiWSCl2 | GGA-PBE | optimized geometry

abc: 4.400 4.400 4.837
angles: 90.00 90.00 90.00
Sites, in units of the cell vectors:
Ni: 0.000 0.000 0.000
W: 0.500 0.500 0.500
S: 0.000 0.000 0.500
Cl: 0.000 0.500 0.000
Cl: 0.500 0.000 0.000

Results
Space-group type ... P4/mmm, No. 123
ΔE to the lowest computed polymorph ... 284.5 meV per atom
Total magnetic moment ... 3.8 μB/f.u.
V ... 94 Å³ per cell

***

# 9
NiWSCl2 | GGA-PBE | optimized geometry

abc: 4.815 4.815 4.621
angles: 90.00 90.00 90.00
Sites, in units of the cell vectors:
Ni: 0.000 0.000 0.000
W: 0.500 0.500 0.500
S: 0.500 0.500 0.000
Cl: 0.000 0.500 0.500
Cl: 0.500 0.000 0.500

Results
Space-group type ... P4/mmm, No. 123
ΔE to the lowest computed polymorph ... 0.0 meV per atom
Total magnetic moment ... 1.0 μB/f.u.
V ... 107 Å³ per cell

***

# 10
NiWS2Cl | GGA-PBE | optimized geometry

abc: 4.514 4.514 4.303
angles: 90.00 90.00 90.00
Sites, in units of the cell vectors:
Ni: 0.000 0.000 0.000
W: 0.500 0.500 0.500
S: 0.000 0.500 0.000
S: 0.500 0.000 0.000
Cl: 0.000 0.000 0.500

Results
Space-group type ... P4/mmm, No. 123
ΔE to the lowest computed polymorph ... 362.6 meV per atom
Total magnetic moment ... 2.9 μB/f.u.
V ... 88 Å³ per cell

***

# 11
NiWS2Cl | GGA-PBE | optimized geometry

abc: 4.662 4.662 4.815
angles: 90.00 90.00 90.00
Sites, in units of the cell vectors:
Ni: 0.000 0.000 0.000
W: 0.500 0.500 0.500
S: 0.000 0.500 0.500
S: 0.500 0.000 0.500
Cl: 0.500 0.500 0.000

Results
Space-group type ... P4/mmm, No. 123
ΔE to the lowest computed polymorph ... 0.0 meV per atom
Total magnetic moment ... 1.0 μB/f.u.
V ... 105 Å³ per cell

***

# 12
ZnNiS2Cl | GGA-PBE | optimized geometry

abc: 4.498 4.498 4.584
angles: 90.00 90.00 90.00
Sites, in units of the cell vectors:
Zn: 0.000 0.000 0.000
Ni: 0.500 0.500 0.500
S: 0.000 0.500 0.500
S: 0.500 0.000 0.500
Cl: 0.500 0.500 0.000

Results
Space-group type ... P4/mmm, No. 123
ΔE to the lowest computed polymorph ... 0.0 meV per atom
Total magnetic moment ... 0.0 μB/f.u.
V ... 93 Å³ per cell

***

# 13
NiSbCl2 | GGA-PBE | optimized geometry

abc: 3.062 3.062 10.165
angles: 90.00 90.00 90.00
Sites, in units of the cell vectors:
Ni: 0.000 0.000 0.000
Sb: 0.000 0.000 0.500
Cl: 0.500 0.500 0.146
Cl: 0.500 0.500 0.854

Results
Space-group type ... P4/mmm, No. 123
ΔE to the lowest computed polymorph ... 548.5 meV per atom
Total magnetic moment ... 1.8 μB/f.u.
V ... 95 Å³ per cell

***

# 14
Ni2SbCl | GGA-PBE | optimized geometry

abc: 6.343 6.343 6.343
angles: 152.53 145.70 44.49
Sites, in units of the cell vectors:
Ni: 0.000 0.000 0.000
Ni: 0.802 0.302 0.500
Sb: 0.199 0.699 0.500
Cl: 0.466 0.466 0.000

Results
Space-group type ... Imm2, No. 44
ΔE to the lowest computed polymorph ... 296.4 meV per atom
Total magnetic moment ... 0.0 μB/f.u.
V ... 66 Å³ per cell

***

# 15
NiSb3Cl | GGA-PBE | optimized geometry

abc: 5.033 5.033 5.033
angles: 90.00 90.00 90.00
Sites, in units of the cell vectors:
Ni: 0.000 0.000 0.000
Sb: 0.000 0.000 0.500
Sb: 0.000 0.500 0.000
Sb: 0.500 0.000 0.000
Cl: 0.500 0.500 0.500

Results
Space-group type ... Pm-3m, No. 221
ΔE to the lowest computed polymorph ... 0.0 meV per atom
Total magnetic moment ... 0.8 μB/f.u.
V ... 127 Å³ per cell

***

# 16
NiSbCl2 | GGA-PBE | optimized geometry

abc: 6.351 6.351 5.359
angles: 105.30 105.30 29.77
Sites, in units of the cell vectors:
Ni: 0.000 0.000 0.000
Sb: 0.500 0.500 0.500
Cl: 0.364 0.364 0.823
Cl: 0.636 0.636 0.177

Results
Space-group type ... C2/m, No. 12
ΔE to the lowest computed polymorph ... 207.9 meV per atom
Total magnetic moment ... 1.3 μB/f.u.
V ... 103 Å³ per cell

***

# 17
NiSbCl2 | GGA-PBE | optimized geometry

abc: 3.547 3.547 8.510
angles: 90.00 90.00 116.13
Sites, in units of the cell vectors:
Ni: 0.000 0.000 0.000
Sb: 0.500 0.500 0.811
Cl: 0.000 0.000 0.564
Cl: 0.500 0.500 0.154

Results
Space-group type ... Cmm2, No. 35
ΔE to the lowest computed polymorph ... 221.8 meV per atom
Total magnetic moment ... 0.0 μB/f.u.
V ... 96 Å³ per cell

***

# 18
NiSbCl2 | GGA-PBE | optimized geometry

abc: 3.457 4.965 5.343
angles: 104.70 90.28 91.94
Sites, in units of the cell vectors:
Ni: 0.000 0.000 0.000
Sb: 0.486 0.776 0.668
Cl: 0.009 0.453 0.956
Cl: 0.510 0.092 0.330

Results
Space-group type ... P1, No. 1
ΔE to the lowest computed polymorph ... 49.9 meV per atom
Total magnetic moment ... 0.0 μB/f.u.
V ... 89 Å³ per cell

***

# 19
NiSb3Cl | GGA-PBE | optimized geometry

abc: 5.232 5.232 5.232
angles: 90.00 90.00 90.00
Sites, in units of the cell vectors:
Ni: 0.000 0.000 0.000
Sb: 0.000 0.500 0.500
Sb: 0.500 0.000 0.500
Sb: 0.500 0.500 0.000
Cl: 0.500 0.500 0.500

Results
Space-group type ... Pm-3m, No. 221
ΔE to the lowest computed polymorph ... 959.2 meV per atom
Total magnetic moment ... 1.0 μB/f.u.
V ... 143 Å³ per cell

***

# 20
Ni2SbCl | GGA-PBE | optimized geometry

abc: 3.203 3.490 6.288
angles: 90.00 90.00 90.00
Sites, in units of the cell vectors:
Ni: 0.000 0.000 0.198
Ni: 0.000 0.000 0.802
Sb: 0.500 0.500 0.000
Cl: 0.500 0.000 0.500

Results
Space-group type ... Pmmm, No. 47
ΔE to the lowest computed polymorph ... 95.0 meV per atom
Total magnetic moment ... 0.0 μB/f.u.
V ... 70 Å³ per cell

***

# 21
NiSbCl2 | GGA-PBE | optimized geometry

abc: 11.305 11.305 11.305
angles: 17.16 17.16 17.16
Sites, in units of the cell vectors:
Ni: 0.000 0.000 0.000
Sb: 0.500 0.500 0.500
Cl: 0.293 0.293 0.293
Cl: 0.707 0.707 0.707

Results
Space-group type ... R-3m, No. 166
ΔE to the lowest computed polymorph ... 210.7 meV per atom
Total magnetic moment ... 1.8 μB/f.u.
V ... 110 Å³ per cell

***

# 22
NiSbCl2 | GGA-PBE | optimized geometry

abc: 5.139 5.139 5.139
angles: 129.26 129.26 74.60
Sites, in units of the cell vectors:
Ni: 0.000 0.000 0.000
Sb: 0.500 0.500 0.000
Cl: 0.250 0.750 0.500
Cl: 0.750 0.250 0.500

Results
Space-group type ... I4/mmm, No. 139
ΔE to the lowest computed polymorph ... 788.9 meV per atom
Total magnetic moment ... 0.2 μB/f.u.
V ... 79 Å³ per cell

***

# 23
NiSbCl | GGA-PBE | optimized geometry

abc: 4.479 4.479 4.479
angles: 60.00 60.00 60.00
Sites, in units of the cell vectors:
Ni: 0.000 0.000 0.000
Sb: 0.250 0.250 0.250
Cl: 0.750 0.750 0.750

Results
Space-group type ... F-43m, No. 216
ΔE to the lowest computed polymorph ... 514.7 meV per atom
Total magnetic moment ... 0.0 μB/f.u.
V ... 64 Å³ per cell

***

# 24
NiSbCl2 | GGA-PBE | optimized geometry

abc: 5.364 3.229 6.250
angles: 90.00 107.56 90.00
Sites, in units of the cell vectors:
Ni: 0.000 0.000 0.000
Sb: 0.500 0.000 0.000
Cl: 0.165 0.500 0.268
Cl: 0.835 0.500 0.732

Results
Space-group type ... P2/m, No. 10
ΔE to the lowest computed polymorph ... 223.1 meV per atom
Total magnetic moment ... 1.0 μB/f.u.
V ... 103 Å³ per cell

***

# 25
NiSbCl2 | GGA-PBE | optimized geometry

abc: 4.796 4.796 4.796
angles: 60.00 60.00 60.00
Sites, in units of the cell vectors:
Ni: 0.000 0.000 0.000
Sb: 0.500 0.500 0.500
Cl: 0.250 0.250 0.250
Cl: 0.750 0.750 0.750

Results
Space-group type ... Fm-3m, No. 225
ΔE to the lowest computed polymorph ... 791.6 meV per atom
Total magnetic moment ... 0.0 μB/f.u.
V ... 78 Å³ per cell

***

# 26
NiSbCl2 | GGA-PBE | optimized geometry

abc: 5.090 5.090 3.214
angles: 90.00 90.00 104.20
Sites, in units of the cell vectors:
Ni: 0.000 0.000 0.000
Sb: 0.500 0.500 0.000
Cl: 0.000 0.500 0.500
Cl: 0.500 0.000 0.500

Results
Space-group type ... Cmmm, No. 65
ΔE to the lowest computed polymorph ... 827.7 meV per atom
Total magnetic moment ... 0.5 μB/f.u.
V ... 81 Å³ per cell

***

# 27
Ni2SbCl | GGA-PBE | optimized geometry

abc: 4.579 4.579 4.579
angles: 60.00 60.00 60.00
Sites, in units of the cell vectors:
Ni: 0.000 0.000 0.000
Ni: 0.250 0.250 0.250
Sb: 0.500 0.500 0.500
Cl: 0.750 0.750 0.750

Results
Space-group type ... F-43m, No. 216
ΔE to the lowest computed polymorph ... 758.3 meV per atom
Total magnetic moment ... 0.7 μB/f.u.
V ... 68 Å³ per cell

***

# 28
Ni2SbCl | GGA-PBE | optimized geometry

abc: 6.348 6.348 3.481
angles: 105.84 105.84 33.85
Sites, in units of the cell vectors:
Ni: 0.000 0.000 0.000
Ni: 0.177 0.177 0.676
Sb: 0.532 0.532 0.532
Cl: 0.801 0.801 0.804

Results
Space-group type ... Cm, No. 8
ΔE to the lowest computed polymorph ... 34.5 meV per atom
Total magnetic moment ... 0.0 μB/f.u.
V ... 75 Å³ per cell

***

# 29
NiSbCl2 | GGA-PBE | optimized geometry

abc: 4.946 4.946 3.279
angles: 90.00 90.00 90.00
Sites, in units of the cell vectors:
Ni: 0.000 0.000 0.000
Sb: 0.500 0.500 0.000
Cl: 0.000 0.500 0.500
Cl: 0.500 0.000 0.500

Results
Space-group type ... P4/mmm, No. 123
ΔE to the lowest computed polymorph ... 842.3 meV per atom
Total magnetic moment ... 0.5 μB/f.u.
V ... 80 Å³ per cell

***

# 30
NiSbCl2 | GGA-PBE | optimized geometry

abc: 4.266 3.427 6.988
angles: 90.00 101.18 90.00
Sites, in units of the cell vectors:
Ni: 0.000 0.000 0.000
Sb: 0.536 0.500 0.917
Cl: 0.243 0.500 0.223
Cl: 0.867 0.000 0.672

Results
Space-group type ... Pm, No. 6
ΔE to the lowest computed polymorph ... 136.2 meV per atom
Total magnetic moment ... 0.0 μB/f.u.
V ... 100 Å³ per cell